Here is a geometry-optimized Ni5Pt structure from Alexandria via LeMat-Bulk. Energies are from PBEsol.

## Properties
crystal system: monoclinic
N(E_F): 1.8595 states/eV per atom
symmetry: Cm (8)
total magnetic moment: 3.63 μB per formula unit

The structure in POSCAR format:
```
Ni5Pt
1.0
4.6309 -1.2855 0.0000
4.6309 1.2855 0.0000
-1.6336 0.0000 5.6981
Ni Pt
5 1
Direct
0.0000 0.0000 0.0000 Ni
0.0513 0.0513 0.5865 Ni
0.3402 0.3402 0.6530 Ni
0.3909 0.3909 0.2735 Ni
0.6692 0.6692 0.3327 Ni
0.7194 0.7194 0.9285 Pt
```

---

Here is a geometry-optimized LiLaPt structure from Alexandria via LeMat-Bulk. Energies are from PBEsol.

## Properties
excess energy over the best structure of this formula in the dataset: 123 meV per atom
crystal system: tetragonal
N(E_F): 0.6438 states/eV per atom
symmetry: I4mm (107)
total magnetic moment: 0.00 μB per formula unit

The structure in POSCAR format:
```
LiLaPt
1.0
-1.9113 1.9113 4.4707
1.9113 -1.9113 4.4707
1.9113 1.9113 -4.4707
Li La Pt
1 1 1
Direct
0.0000 0.0000 0.0000 Li
0.6883 0.6883 0.0000 La
0.3222 0.3222 0.0000 Pt
```

---

Here is a geometry-optimized Sr3V3Bi2O14 structure from Alexandria via LeMat-Bulk. Energies are from PBEsol.

## Properties
crystal system: triclinic
E_form (uncorrected): -52.005 eV per formula unit
N(E_F): 0.1898 states/eV per atom
symmetry: P-1 (2)
total magnetic moment: 0.00 μB per formula unit

The structure in POSCAR format:
```
Sr3V3Bi2O14
1.0
7.0093 0.0000 0.0000
-2.3041 6.7285 0.0000
-1.6879 -2.3959 13.4573
Sr V Bi O
6 6 4 28
Direct
0.2381 0.3390 0.3182 Sr
0.2433 0.9082 0.0573 Sr
0.2553 0.7972 0.5465 Sr
0.7447 0.2028 0.4535 Sr
0.7567 0.0918 0.9427 Sr
0.7619 0.6610 0.6818 Sr
0.2341 0.8431 0.2919 V
0.2385 0.3869 0.0570 V
0.3029 0.3400 0.5819 V
0.6971 0.6600 0.4181 V
0.7615 0.6131 0.9430 V
0.7659 0.1569 0.7081 V
0.2528 0.6188 0.8156 Bi
0.2568 0.0995 0.8028 Bi
0.7432 0.9005 0.1972 Bi
0.7472 0.3812 0.1844 Bi
0.0222 0.3909 0.1013 O
0.0713 0.6171 0.3084 O
0.1007 0.9638 0.2219 O
0.1284 0.3391 0.4836 O
0.1472 0.8002 0.7213 O
0.1531 0.1778 0.9630 O
0.2090 0.1318 0.6375 O
0.3473 0.5982 0.0097 O
0.3499 0.0023 0.4002 O
0.3694 0.5662 0.6651 O
0.3756 0.9240 0.8978 O
0.3905 0.3319 0.1500 O
0.4065 0.8035 0.2194 O
0.4701 0.6560 0.4472 O
0.5299 0.3440 0.5528 O
0.5935 0.1965 0.7806 O
0.6095 0.6681 0.8500 O
0.6244 0.0760 0.1022 O
0.6306 0.4338 0.3349 O
0.6501 0.9977 0.5998 O
0.6527 0.4018 0.9903 O
0.7910 0.8682 0.3625 O
0.8469 0.8222 0.0370 O
0.8528 0.1998 0.2787 O
0.8716 0.6609 0.5164 O
0.8993 0.0362 0.7781 O
0.9287 0.3829 0.6916 O
0.9778 0.6091 0.8987 O
```

---

Here is a geometry-optimized CdGeBr2 structure from Alexandria via LeMat-Bulk. Energies are from PBEsol.

## Properties
crystal system: trigonal
E_form (uncorrected): -0.773 eV per formula unit
symmetry: R-3m (166)
total magnetic moment: 0.00 μB per formula unit

The structure in POSCAR format:
```
CdGeBr2
1.0
1.8989 1.0963 10.0841
-1.8989 1.0963 10.0841
0.0000 -2.1927 10.0841
Cd Ge Br
1 1 2
Direct
0.0000 0.0000 0.0000 Cd
0.5000 0.5000 0.5000 Ge
0.1099 0.1099 0.1099 Br
0.8901 0.8901 0.8901 Br
```

---

Here is a geometry-optimized Li3Mg structure from Alexandria via LeMat-Bulk. Energies are from PBEsol.

## Properties
crystal system: hexagonal
N(E_F): 0.4238 states/eV per atom
symmetry: P-6m2 (187)
total magnetic moment: 0.00 μB per formula unit

The structure in POSCAR format:
```
Li3Mg
1.0
3.0797 0.0000 0.0000
-1.5399 2.6671 0.0000
0.0000 0.0000 9.9764
Li Mg
3 1
Direct
0.0000 0.0000 0.0000 Li
0.3333 0.6667 0.2486 Li
0.3333 0.6667 0.7514 Li
0.0000 0.0000 0.5000 Mg
```

---

Here is a geometry-optimized BeSiP2 structure from Alexandria via LeMat-Bulk. Energies are from PBEsol.

## Properties
excess energy over the best structure of this formula in the dataset: 929 meV per atom
crystal system: cubic
E_form (uncorrected): 2.256 eV per formula unit
N(E_F): 0.5193 states/eV per atom
symmetry: F-43m (216)
total magnetic moment: 0.00 μB per formula unit

The structure in POSCAR format:
```
BeSiP2
1.0
0.0000 2.9414 2.9414
2.9414 0.0000 2.9414
2.9414 2.9414 0.0000
Be Si P
1 1 2
Direct
0.0000 0.0000 0.0000 Be
0.2500 0.2500 0.2500 Si
0.5000 0.5000 0.5000 P
0.7500 0.7500 0.7500 P
```

---

Here is a geometry-optimized MgFe2Ag structure from Alexandria via LeMat-Bulk. Energies are from PBEsol.

## Properties
crystal system: tetragonal
N(E_F): 0.8452 states/eV per atom
symmetry: P4/mmm (123)
total magnetic moment: 5.14 μB per formula unit

The structure in POSCAR format:
```
MgFe2Ag
1.0
3.2916 0.0000 0.0000
0.0000 3.2916 0.0000
0.0000 0.0000 5.3930
Mg Fe Ag
1 2 1
Direct
0.0000 0.0000 0.0000 Mg
0.5000 0.5000 0.2663 Fe
0.5000 0.5000 0.7337 Fe
0.0000 0.0000 0.5000 Ag
```

---

Here is a geometry-optimized CoTc2Br structure from Alexandria via LeMat-Bulk. Energies are from PBEsol.

## Properties
excess energy over the best structure of this formula in the dataset: 33 meV per atom
crystal system: cubic
E_form (uncorrected): 3.030 eV per formula unit
N(E_F): 0.6997 states/eV per atom
symmetry: Fm-3m (225)
total magnetic moment: 0.00 μB per formula unit

The structure in POSCAR format:
```
CoTc2Br
1.0
0.0000 2.9869 2.9869
2.9869 0.0000 2.9869
2.9869 2.9869 0.0000
Co Tc Br
1 2 1
Direct
0.0000 0.0000 0.0000 Co
0.2500 0.2500 0.2500 Tc
0.7500 0.7500 0.7500 Tc
0.5000 0.5000 0.5000 Br
```

---

Here is a geometry-optimized PrEuCuS3 structure from Alexandria via LeMat-Bulk. Energies are from PBEsol.

## Properties
crystal system: orthorhombic
E_form (uncorrected): -10.250 eV per formula unit
N(E_F): 1.6835 states/eV per atom
symmetry: Pnma (62)
total magnetic moment: 6.97 μB per formula unit

The structure in POSCAR format:
```
PrEuCuS3
1.0
7.9400 0.0000 0.0000
0.0000 3.9635 0.0000
0.0000 0.0000 15.5408
Pr Eu Cu S
4 4 4 12
Direct
0.2504 0.2500 0.0410 Pr
0.2496 0.7500 0.5410 Pr
0.7504 0.2500 0.4590 Pr
0.7496 0.7500 0.9590 Pr
0.0874 0.2500 0.7839 Eu
0.4126 0.7500 0.2839 Eu
0.5874 0.2500 0.7161 Eu
0.9126 0.7500 0.2161 Eu
0.1173 0.2500 0.3662 Cu
0.3827 0.7500 0.8662 Cu
0.6173 0.2500 0.1338 Cu
0.8827 0.7500 0.6338 Cu
0.0094 0.2500 0.5982 S
0.1185 0.7500 0.9294 S
0.1800 0.2500 0.2209 S
0.3200 0.7500 0.7209 S
0.3815 0.2500 0.4294 S
0.4906 0.7500 0.0982 S
0.5094 0.2500 0.9018 S
0.6185 0.7500 0.5706 S
0.6800 0.2500 0.2791 S
0.8200 0.7500 0.7791 S
0.8815 0.2500 0.0706 S
0.9906 0.7500 0.4018 S
```

---

Here is a geometry-optimized YCrIr2 structure from Alexandria via LeMat-Bulk. Energies are from PBEsol.

## Properties
crystal system: monoclinic
N(E_F): 0.8273 states/eV per atom
symmetry: P2/m (10)
total magnetic moment: 3.10 μB per formula unit

The structure in POSCAR format:
```
YCrIr2
1.0
4.6656 0.0000 0.0000
0.0000 2.9473 0.0000
-1.4982 0.0000 4.6812
Y Cr Ir
1 1 2
Direct
0.0000 0.0000 0.0000 Y
0.0000 0.5000 0.5000 Cr
0.5000 0.0000 0.5000 Ir
0.5000 0.5000 0.0000 Ir
```

---

Here is a geometry-optimized KB2Pd2 structure from Alexandria via LeMat-Bulk. Energies are from PBEsol.

## Properties
crystal system: tetragonal
N(E_F): 0.3813 states/eV per atom
symmetry: I4/mmm (139)
total magnetic moment: 0.00 μB per formula unit

The structure in POSCAR format:
```
KB2Pd2
1.0
-2.0981 2.0981 5.8974
2.0981 -2.0981 5.8974
2.0981 2.0981 -5.8974
K B Pd
1 2 2
Direct
0.0000 0.0000 0.0000 K
0.2500 0.7500 0.5000 B
0.7500 0.2500 0.5000 B
0.2613 0.2613 0.0000 Pd
0.7387 0.7387 0.0000 Pd
```

---

Here is a geometry-optimized La3FeHg structure from Alexandria via LeMat-Bulk. Energies are from PBEsol.

## Properties
crystal system: cubic
N(E_F): 1.1215 states/eV per atom
symmetry: Pm-3m (221)
total magnetic moment: 0.00 μB per formula unit

The structure in POSCAR format:
```
La3FeHg
1.0
5.1574 0.0000 0.0000
0.0000 5.1574 0.0000
0.0000 0.0000 5.1574
La Fe Hg
3 1 1
Direct
0.0000 0.0000 0.5000 La
0.0000 0.5000 0.0000 La
0.5000 0.0000 0.0000 La
0.0000 0.0000 0.0000 Fe
0.5000 0.5000 0.5000 Hg
```

---

| no. | total energy (eV/atom) |
| --- | --- |
| 1 | -6.276 |
| 2 | -5.302 |
| 3 | -7.659 |
| 4 | -2.662 |
| 5 | -1.917 |
| 6 | -4.768 |
| 7 | -5.281 |
| 8 | -7.277 |
| 9 | -7.247 |
| 10 | -9.102 |
| 11 | -5.187 |
| 12 | -5.279 |